1.
The following is a DFT calculation (GGA-PBEsol) of an optimized crystal structure of FeTeN2.

a b c (Å): 6.2377 6.2377 6.2377
angles (deg): 30.96 30.96 30.96
Closest atoms and distances in Å follow each position.
Sites, in units of the cell vectors:
Fe 0.0000 0.0000 0.0000  2 N 1.83
Te 0.5000 0.5000 0.5000  6 N 2.23
N 0.1028 0.1028 0.1028  1 Fe 1.83
N 0.8972 0.8972 0.8972  1 Fe 1.83

Output
space-group type: No. 166
electronic total energy: -26.2 eV for the cell shown

=====

2.
The following is a DFT calculation (GGA-PBEsol) of an optimized crystal structure of FeTe2WN.

a b c (Å): 5.3448 5.3448 3.7619
angles (deg): 90.00 90.00 90.00
Closest atoms and distances in Å follow each position.
Sites, in units of the cell vectors:
Fe 0.0000 0.0000 0.0000  8 Te 3.27
Te 0.0000 0.5000 0.5000  2 W 2.67
Te 0.5000 0.0000 0.5000  2 W 2.67
W 0.5000 0.5000 0.5000  2 N 1.88
N 0.5000 0.5000 0.0000  2 W 1.88

Output
space-group type: No. 123
electronic total energy: -34.7 eV for the cell shown

=====

3.
The following is a DFT calculation (GGA-PBEsol) of an optimized crystal structure of TiFeN2.

a b c (Å): 5.4476 5.4476 5.4476
angles (deg): 133.63 133.63 67.67
Closest atoms and distances in Å follow each position.
Sites, in units of the cell vectors:
Ti 0.0000 0.0000 0.0000  4 N 1.96
Ti 0.7500 0.2500 0.5000  4 N 1.96
Fe 0.2500 0.7500 0.5000  4 N 1.83
Fe 0.5000 0.5000 0.0000  4 N 1.83
N 0.1508 0.6250 0.0258  2 Fe 1.83, 2 Ti 1.96
N 0.3750 0.4008 0.5258  2 Fe 1.83, 2 Ti 1.96
N 0.5992 0.1250 0.9742  2 Fe 1.83, 2 Ti 1.96
N 0.8750 0.8492 0.4742  2 Fe 1.83, 2 Ti 1.96

Output
space-group type: No. 122
electronic total energy: -75.5 eV for the cell shown

=====

4.
The following is a DFT calculation (GGA-PBEsol) of an optimized crystal structure of TiFe3N.

a b c (Å): 3.6948 3.6948 3.6948
angles (deg): 90.00 90.00 90.00
Closest atoms and distances in Å follow each position.
Sites, in units of the cell vectors:
Ti 0.0000 0.0000 0.0000  12 Fe 2.61
Fe 0.0000 0.5000 0.5000  2 N 1.85
Fe 0.5000 0.0000 0.5000  2 N 1.85
Fe 0.5000 0.5000 0.0000  2 N 1.85
N 0.5000 0.5000 0.5000  6 Fe 1.85

Output
space-group type: No. 221
electronic total energy: -45.8 eV for the cell shown